First-principles (GGA-PBE) data for crystalline InTc2Os at its relaxed geometry, as listed in Alexandria via LeMat-Bulk.

Output
The value obtained for the total magnetic moment is 0.00 μB/cell. The density of states at the Fermi level comes out at 1.14 states/eV per atom. The value obtained for the total energy is -32.713 eV per cell.

Cell lengths 4.638, 4.638, 2.949 Å; angles 90.00, 90.00, 90.00 degrees
Space group P4/mmm (No. 123)
Symmetry-distinct sites (fractional):
In 0.000 0.000 0.000 x1
Tc 0.000 0.500 0.500 x2
Os 0.500 0.500 0.000 x1